# 1
Computed, not measured: crystalline Ba2GaPd at its relaxed geometry at the PBE level of DFT.

- Energy of formation from the pure elements: -10 kJ per mole of atoms
- Total magnetization: 0.0 μB per cell

abc: 8.7729 8.7729 7.5083
angles: 90.00 90.00 90.00
Last column: nearest neighbours and their distance in Å.
Space group I-42d (No. 122)
One atom of each set of equivalent atoms:
Ba 0.2167 0.2500 0.1250  2 Pd 3.05
Ga 0.0000 0.0000 0.5000  4 Ba 3.44, 2 Pd 3.75
Pd 0.0000 0.0000 0.0000  4 Ba 3.05

=====

# 2
Computed, not measured: crystalline Ta6Nb3Pd2 at its relaxed geometry at the PBE level of DFT.

- Energy of formation from the pure elements: 3 kJ per mole of atoms
- Total magnetization: 0.0 μB per cell

abc: 4.4952 10.0222 8.9804
angles: 90.00 90.19 90.00
Last column: nearest neighbours and their distance in Å.
Space group C2/m (No. 12)
One atom of each set of equivalent atoms:
Ta 0.0011 0.0000 0.2487  2 Pd 2.70, 4 Ta 2.81, 2 Nb 2.81
Ta 0.0009 0.3335 0.2717  3 Pd 2.77-3.06, 4 Ta 2.80-2.81, 2 Nb 2.94-2.96
Nb 0.0000 0.1698 0.0000  4 Nb 2.76-2.82, 4 Ta 2.81-2.94
Nb 0.0000 0.5000 0.0000  4 Nb 2.82, 4 Ta 2.96
Pd 0.0000 0.1473 0.5000  4 Ta 2.70-2.77, 1 Pd 2.95

=====

Number 1: uncorrected energy -3.118 eV/atom. Number 2: uncorrected energy -10.127 eV/atom.